VASP calculation (SCAN) on a PBEsol-optimized structure of PPdICl2.

Calculated values
ΔE_f (raw) = 0.174 eV/atom
Theoretical density = 5.2 g/cm³
V = 21.49 Å³ per atom
Crystal system = tetragonal

a = 4.7005 Å, b = 4.7005 Å, c = 4.8624 Å
α = 90.00°, β = 90.00°, γ = 90.00°
Space group P4/mmm (No. 123)
Inequivalent atoms, fractional coordinates:
P1 0.0000 0.0000 0.0000 (multiplicity 1)
Pd1 0.0000 0.0000 0.5000 (multiplicity 1)
I1 0.5000 0.5000 0.0000 (multiplicity 1)
Cl1 0.0000 0.5000 0.5000 (multiplicity 2)